# PBE-GGA NaPmInSe3, optimized geometry
# Crystal system: monoclinic
# ΔE_f (raw) (kJ/mol of formula units): -687
# SG: P2_1/m
# Final energy (eV/cell): -52.8
data_NaPmInSe3
_cell_length_a 4.134
_cell_length_b 8.463
_cell_length_c 10.160
_cell_angle_alpha 96.28
_cell_angle_beta 90.00
_cell_angle_gamma 90.00
_space_group_name_H-M_alt 'P 1'
_space_group_IT_number 1
loop_
_space_group_symop_operation_xyz
'x,y,z'
loop_
_atom_site_label
_atom_site_fract_x
_atom_site_fract_y
_atom_site_fract_z
Se1 0.250 0.612 0.866
Se2 0.750 0.388 0.134
Se3 0.250 0.114 0.828
Se4 0.750 0.341 0.544
Se5 0.750 0.886 0.172
Se6 0.250 0.659 0.456
In1 0.250 0.136 0.561
In2 0.750 0.864 0.439
Na1 0.250 0.141 0.145
Na2 0.750 0.859 0.855
Pm1 0.250 0.629 0.161
Pm2 0.750 0.371 0.839